(1)
Computed, not measured: an optimized crystal structure of Rb2LiHgO at the PBE-GGA level of DFT.

Computed properties:
DOS(E_F) ... 1.5 states/eV/cell
Spin magnetization ... 0.000 μB/cell
Uncorrected formation energy ... -0.754 eV/atom

a = 6.220 Å, b = 6.220 Å, c = 3.760 Å
α = 90.00°, β = 90.00°, γ = 90.00°
Positions (direct):
Rb (0.000, 0.500, 0.000)
Rb (0.500, 0.000, 0.000)
Li (0.000, 0.000, 0.500)
Hg (0.500, 0.500, 0.500)
O (0.000, 0.000, 0.000)

(2)
Computed, not measured: an optimized crystal structure of CrPt2Se at the PBE-GGA level of DFT.

Computed properties:
DOS(E_F) ... 14.5 states/eV/cell
Spin magnetization ... 5.013 μB/cell
Uncorrected formation energy ... 0.145 eV/atom

a = 2.767 Å, b = 2.767 Å, c = 29.476 Å
α = 90.00°, β = 90.00°, γ = 120.00°
Positions (direct):
Cr (0.000, 0.000, 0.000)
Cr (0.333, 0.667, 0.667)
Cr (0.667, 0.333, 0.333)
Pt (0.000, 0.000, 0.263)
Pt (0.000, 0.000, 0.737)
Pt (0.333, 0.667, 0.404)
Pt (0.333, 0.667, 0.930)
Pt (0.667, 0.333, 0.070)
Pt (0.667, 0.333, 0.596)
Se (0.000, 0.000, 0.500)
Se (0.333, 0.667, 0.167)
Se (0.667, 0.333, 0.833)

(3)
Computed, not measured: an optimized crystal structure of MnZnHg4 at the PBE-GGA level of DFT.

Computed properties:
DOS(E_F) ... 4.1 states/eV/cell
E_form ... 509 meV per atom
Spin magnetization ... 4.746 μB/cell

a = 5.919 Å, b = 5.919 Å, c = 5.919 Å
α = 60.00°, β = 60.00°, γ = 60.00°
Positions (direct):
Mn (0.000, 0.000, 0.000)
Zn (0.750, 0.750, 0.750)
Hg (0.375, 0.375, 0.375)
Hg (0.375, 0.375, 0.875)
Hg (0.375, 0.875, 0.375)
Hg (0.875, 0.375, 0.375)

(4)
Computed, not measured: an optimized crystal structure of LiGaCl2 at the PBE-GGA level of DFT.

Computed properties:
DOS(E_F) ... 0.0 states/eV/cell
Spin magnetization ... 0.000 μB/cell
Uncorrected formation energy ... -1.014 eV/atom

a = 7.049 Å, b = 7.049 Å, c = 7.049 Å
α = 90.00°, β = 90.00°, γ = 90.00°
Positions (direct):
Li (0.000, 0.000, 0.000)
Li (0.000, 0.500, 0.500)
Li (0.500, 0.000, 0.500)
Li (0.500, 0.500, 0.000)
Ga (0.000, 0.000, 0.500)
Ga (0.000, 0.500, 0.000)
Ga (0.500, 0.000, 0.000)
Ga (0.500, 0.500, 0.500)
Cl (0.250, 0.250, 0.250)
Cl (0.250, 0.250, 0.750)
Cl (0.250, 0.750, 0.250)
Cl (0.250, 0.750, 0.750)
Cl (0.750, 0.250, 0.250)
Cl (0.750, 0.250, 0.750)
Cl (0.750, 0.750, 0.250)
Cl (0.750, 0.750, 0.750)

What is the spin magnetization in the fourth record?
0.000 μB/cell